Entry from Alexandria via LeMat-Bulk: an optimized crystal structure of KAlIn2O (GGA-PBE).

## Properties
magnetization	0.000	μB per atom
calculated density	3.733	g/cm³
V	138.7	Å³ per cell
total DFT energy (no corrections)	-17.35	eV per cell

Unit cell a=6.3010 b=6.3010 c=3.4927 alpha=90.00 beta=90.00 gamma=90.00
Space group P4/mmm (No. 123)
Unique sites:
K (0.0000, 0.0000, 0.0000) (multiplicity 1)
Al (0.5000, 0.5000, 0.0000) (multiplicity 1)
In (0.0000, 0.5000, 0.5000) (multiplicity 2)
O (0.5000, 0.5000, 0.5000) (multiplicity 1)